# 1
First-principles (SCAN) data for a crystal of SbP2PbCl relaxed with PBEsol, as listed in the Alexandria database.

a = 5.146 Å, b = 5.146 Å, c = 5.048 Å
α = 90.00°, β = 90.00°, γ = 90.00°
Space group P4/mmm (No. 123)
Unique sites:
1 Sb 0.000 0.000 0.000 [1 per cell]
2 P 0.000 0.500 0.500 [2 per cell]
3 Pb 0.500 0.500 0.500 [1 per cell]
4 Cl 0.500 0.500 0.000 [1 per cell]

Output
Volume, A^3/atom: 26.73
Total magnetic moment, μB/f.u.: 0.0
Calculated density, g/cm³: 5.30
Uncorrected formation energy, eV/atom: 0.8591
E, eV/atom: -27.504



# 2
First-principles (SCAN) data for a crystal of BeHg2Ir relaxed with PBEsol, as listed in the Alexandria database.

a = 3.029 Å, b = 3.761 Å, c = 5.617 Å
α = 90.00°, β = 90.00°, γ = 90.00°
Space group Pmmm (No. 47)
Unique sites:
1 Be 0.000 0.000 0.000 [1 per cell]
2 Hg 0.500 0.500 0.242 [2 per cell]
3 Ir 0.000 0.000 0.500 [1 per cell]

Output
Volume, A^3/atom: 16.00
Total magnetic moment, μB/f.u.: 0.0
Calculated density, g/cm³: 15.63
E, eV/atom: -52.397



# 3
First-principles (SCAN) data for a crystal of Y2RuRh relaxed with PBEsol, as listed in the Alexandria database.

a = 3.368 Å, b = 3.368 Å, c = 6.718 Å
α = 90.00°, β = 90.00°, γ = 90.00°
Space group P4/mmm (No. 123)
Unique sites:
1 Y 0.000 0.000 0.247 [2 per cell]
2 Ru 0.500 0.500 0.000 [1 per cell]
3 Rh 0.500 0.500 0.500 [1 per cell]

Output
Volume, A^3/atom: 19.05
Total magnetic moment, μB/f.u.: 0.0
Calculated density, g/cm³: 8.32
E, eV/atom: -31.762



Please write out number 3 again, unchanged.
First-principles (SCAN) data for a crystal of Y2RuRh relaxed with PBEsol, as listed in the Alexandria database.

a = 3.368 Å, b = 3.368 Å, c = 6.718 Å
α = 90.00°, β = 90.00°, γ = 90.00°
Space group P4/mmm (No. 123)
Unique sites:
1 Y 0.000 0.000 0.247 [2 per cell]
2 Ru 0.500 0.500 0.000 [1 per cell]
3 Rh 0.500 0.500 0.500 [1 per cell]

Output
Volume, A^3/atom: 19.05
Total magnetic moment, μB/f.u.: 0.0
Calculated density, g/cm³: 8.32
E, eV/atom: -31.762